This record from Alexandria describes crystalline Pm4Si5Rh2 at its relaxed geometry. The functional is PBE.

For the uncorrected formation energy, the calculation gives -665 meV per atom.

It has space group P2/m (No. 10), with a = 6.928 Å, b = 4.274 Å, c = 8.014 Å, α = 90.00°, β = 91.57° and γ = 90.00°. The inequivalent atoms are Pm at (0.233, 0.000, 0.137), Pm at (0.255, 0.000, 0.623), Si at (0.115, 0.500, 0.885), Si at (0.423, 0.500, 0.360), Si at (0.500, 0.500, 0.000) and Rh at (0.081, 0.500, 0.360).

This record from Alexandria describes crystalline Pm2Si3Rh4 at its relaxed geometry. The functional is PBE.

For the uncorrected formation energy, the calculation gives -953 meV per atom.

It has space group Cmce (No. 64), with a = 5.567 Å, b = 14.983 Å, c = 7.303 Å, α = 90.00°, β = 90.00° and γ = 90.00°. The inequivalent atoms are Pm at (0.000, 0.106, 0.089), Si at (0.000, 0.000, 0.500), Si at (0.250, 0.230, 0.750), Rh at (0.000, 0.188, 0.484) and Rh at (0.250, 0.068, 0.750).

This record from Alexandria describes crystalline PmSiRh3 at its relaxed geometry. The functional is PBE.

For the uncorrected formation energy, the calculation gives -667 meV per atom.

It has space group Pm-3m (No. 221), with a = 4.495 Å, b = 4.495 Å, c = 4.495 Å, α = 90.00°, β = 90.00° and γ = 90.00°. The inequivalent atoms are Pm at (0.000, 0.000, 0.000), Si at (0.500, 0.500, 0.500) and Rh at (0.000, 0.500, 0.500).

This record from Alexandria describes crystalline PmSi2Rh8 at its relaxed geometry. The functional is PBE.

For the uncorrected formation energy, the calculation gives 25 meV per atom.

It has space group P4/mmm (No. 123), with a = 5.875 Å, b = 5.875 Å, c = 5.495 Å, α = 90.00°, β = 90.00° and γ = 90.00°. The inequivalent atoms are Pm at (0.000, 0.000, 0.000), Si at (0.000, 0.500, 0.500) and Rh at (0.278, 0.278, 0.255).

This record from Alexandria describes crystalline Pm7Si2Rh2 at its relaxed geometry. The functional is PBE.

For the uncorrected formation energy, the calculation gives -339 meV per atom.

It has space group Cmmm (No. 65), with a = 8.526 Å, b = 10.649 Å, c = 7.054 Å, α = 90.00°, β = 90.00° and γ = 90.00°. The inequivalent atoms are Pm at (0.000, 0.000, 0.000), Pm at (0.000, 0.500, 0.244), Pm at (0.250, 0.250, 0.262), Si at (0.214, 0.000, 0.500) and Rh at (0.000, 0.277, 0.000).

This record from Alexandria describes crystalline PmSi3Rh2 at its relaxed geometry. The functional is PBE.

For the uncorrected formation energy, the calculation gives -862 meV per atom.

It has space group C2/m (No. 12), with a = 15.878 Å, b = 3.995 Å, c = 9.638 Å, α = 90.00°, β = 104.08° and γ = 90.00°. The inequivalent atoms are Pm at (0.000, 0.000, 0.000), Pm at (0.149, 0.000, 0.701), Si at (0.000, 0.500, 0.500), Si at (0.055, 0.000, 0.373), Si at (0.140, 0.500, 0.181), Si at (0.141, 0.500, 0.931), Si at (0.221, 0.000, 0.348), Rh at (0.003, 0.500, 0.756), Rh at (0.156, 0.500, 0.442) and Rh at (0.209, 0.000, 0.083).